Entry 1:
# TeMo2AsOs | Alexandria via LeMat-Bulk | PBE-GGA | optimized geometry
# Magnetization, Bohr magnetons per cell: 1.649
# Formation energy from raw total energies, meV per atom: 1236
data_TeMo2AsOs
_cell_length_a 4.6985
_cell_length_b 4.6985
_cell_length_c 4.5498
_cell_angle_alpha 90.00
_cell_angle_beta 90.00
_cell_angle_gamma 90.00
_symmetry_space_group_name_H-M 'P 4/m m m'
_symmetry_Int_Tables_number 123
_symmetry_space_group_name_Hall '-P 4 2'
loop_
_atom_site_label
_atom_site_type_symbol
_atom_site_fract_x
_atom_site_fract_y
_atom_site_fract_z
_atom_site_occupancy
Te1 Te 0.0000 0.0000 0.0000 1
Mo1 Mo 0.0000 0.5000 0.5000 1
As1 As 0.5000 0.5000 0.5000 1
Os1 Os 0.5000 0.5000 0.0000 1

***

Entry 2:
# CsNa6Hg6 | Alexandria via LeMat-Bulk | PBE-GGA | optimized geometry
# Magnetization, Bohr magnetons per cell: 0.000
# Energy of formation, eV/f.u.: -2.51
data_CsNa6Hg6
_cell_length_a 6.2699
_cell_length_b 10.9375
_cell_length_c 11.3566
_cell_angle_alpha 90.00
_cell_angle_beta 90.00
_cell_angle_gamma 90.00
_symmetry_space_group_name_H-M 'I m m m'
_symmetry_Int_Tables_number 71
_symmetry_space_group_name_Hall '-I 2 2'
loop_
_atom_site_label
_atom_site_type_symbol
_atom_site_fract_x
_atom_site_fract_y
_atom_site_fract_z
_atom_site_occupancy
Cs1 Cs 0.0000 0.0000 0.0000 1
Na1 Na 0.0000 0.0000 0.3527 1
Na2 Na 0.0000 0.3412 0.0000 1
Na3 Na 0.0000 0.5000 0.2999 1
Hg1 Hg 0.0000 0.2737 0.5000 1
Hg2 Hg 0.2500 0.2500 0.2500 1